# Pm6SnBi2Te3

Pm6SnBi2Te3 after structural relaxation (PBE, Alexandria via LeMat-Bulk).

```
Pm6SnBi2Te3
1.0
-1.152 2.501 3.592
-0.737 -7.493 4.981
10.003 1.317 -0.562
Pm Te Bi Sn
6 3 2 1
direct
0.000 0.240 0.999 Pm
0.333 0.418 0.667 Pm
0.000 0.760 0.001 Pm
0.667 0.582 0.333 Pm
0.338 0.919 0.676 Pm
0.662 0.081 0.324 Pm
0.500 0.500 0.000 Te
0.168 0.833 0.337 Te
0.832 0.167 0.663 Te
0.833 0.667 0.666 Bi
0.167 0.333 0.334 Bi
0.500 0.000 0.000 Sn
```

Properties
- energy (eV/cell) = -63.84
- formation energy (no corrections) (eV per atom) = -1.179

---

# PmTlSnBi

PmTlSnBi after structural relaxation (PBE, Alexandria via LeMat-Bulk).

```
PmTlSnBi
1.0
5.558 0.000 0.000
2.779 4.813 0.000
2.779 1.604 4.538
Bi Pm Tl Sn
1 1 1 1
direct
0.000 0.000 0.000 Bi
0.250 0.250 0.250 Pm
0.500 0.500 0.500 Tl
0.750 0.750 0.750 Sn
```

Properties
- DFT formation energy (eV/atom) = -0.20
- energy (eV/cell) = -15.78

---

# PmUSnBi

PmUSnBi after structural relaxation (PBE, Alexandria via LeMat-Bulk).

```
PmUSnBi
1.0
5.443 0.000 0.000
2.721 4.713 0.000
2.721 1.571 4.444
U Sn Pm Bi
1 1 1 1
direct
0.500 0.500 0.500 U
0.750 0.750 0.750 Sn
0.000 0.000 0.000 Pm
0.250 0.250 0.250 Bi
```

Properties
- DFT formation energy (eV/atom) = -0.18
- energy (eV/cell) = -24.64

---

# PmYSnBi

PmYSnBi after structural relaxation (PBE, Alexandria via LeMat-Bulk).

```
PmYSnBi
1.0
-0.074 -0.882 -5.433
-1.105 -5.025 -1.958
-4.773 -0.965 -2.567
Y Pm Sn Bi
1 1 1 1
direct
0.750 0.750 0.750 Y
0.250 0.250 0.250 Pm
0.000 0.000 0.000 Sn
0.500 0.500 0.500 Bi
```

Properties
- DFT formation energy (eV/atom) = -0.57
- energy (eV/cell) = -21.39